Entry from Alexandria: crystalline RbYIrC2 at its relaxed geometry (PBEsol).

The structure in POSCAR format:
```
RbYIrC2
1.0
4.455 0.000 0.000
0.000 4.455 0.000
0.000 0.000 5.503
Y C Ir Rb
1 2 1 1
Direct
0.000 0.000 0.000
0.500 0.000 0.000
0.000 0.500 0.000
0.500 0.500 0.500
0.000 0.000 0.500
```

Calculated values
- energy of formation (eV/atom) = 2.85

***

Entry from Alexandria: crystalline RuRhW2 at its relaxed geometry (PBEsol).

The structure in POSCAR format:
```
RuRhW2
1.0
-0.977 -2.276 -1.230
2.446 0.879 -3.570
3.575 -2.523 1.828
W Rh Ru
2 1 1
Direct
0.000 0.000 0.055
0.000 0.500 0.697
0.500 0.000 0.555
0.500 0.500 0.194
```

Calculated values
- energy of formation (eV/atom) = -0.05
- excess energy over the best structure of this formula in the dataset (meV/atom) = 23

***

Entry from Alexandria: crystalline Ga2GeAuI at its relaxed geometry (PBEsol).

The structure in POSCAR format:
```
Ga2GeAuI
1.0
-1.011 4.502 -1.916
-1.150 -2.121 -4.375
-5.101 -0.477 1.571
I Ge Ga Au
1 1 2 1
Direct
0.000 0.000 0.500
0.000 0.000 0.000
0.500 0.000 0.000
0.000 0.500 0.000
0.500 0.500 0.500
```

Calculated values
- formation energy (no corrections) (eV per atom) = 0.554

***

Entry from Alexandria: crystalline Nb2GaGeRh at its relaxed geometry (PBEsol).

The structure in POSCAR format:
```
Nb2GaGeRh
1.0
-2.213 3.129 -2.076
-3.924 -2.595 0.272
-1.040 2.008 4.134
Ga Ge Nb Rh
1 1 2 1
Direct
0.000 0.000 0.000
0.500 0.000 0.000
0.000 0.000 0.500
0.000 0.500 0.000
0.500 0.500 0.500
```

Calculated values
- energy of formation (eV/atom) = 1.28

***

We obtain total DFT energy (no corrections) values of -4.547, -11.532, -2.908, -6.329 eV/atom for the records listed above, in that order.
We obtain calculated volume values of 21.8, 14.5, 26.8, 19.4 Å³/atom for the records listed above, in that order.